First-principles (PBE) data for a geometry-optimized Hf2ScAl structure, as listed in Alexandria via LeMat-Bulk. Values from VASP.

* total moment: 0.59 μB per formula unit
* formation energy from the elements: 0.687 eV/f.u.

Structure (Quantum ESPRESSO input):
```
&SYSTEM
  ibrav = 0, nat = 12, ntyp = 3
/
ATOMIC_SPECIES
Hf 178.49 Hf.upf
Sc 44.96 Sc.upf
Al 26.98 Al.upf
CELL_PARAMETERS angstrom
3.028 0.000 0.000
-1.514 2.623 0.000
0.000 0.000 32.720
ATOMIC_POSITIONS crystal
Hf 0.000 0.000 0.092
Hf 0.000 0.000 0.908
Hf 0.333 0.667 0.575
Hf 0.333 0.667 0.759
Hf 0.667 0.333 0.241
Hf 0.667 0.333 0.425
Sc 0.000 0.000 0.000
Sc 0.333 0.667 0.667
Sc 0.667 0.333 0.333
Al 0.000 0.000 0.500
Al 0.333 0.667 0.167
Al 0.667 0.333 0.833
```